Below is a relaxed Y8Tl2Sn crystal, with properties calculated at the PBE level.

The structure in POSCAR format:
```
Y8Tl2Sn
1.0
4.4281 -7.3306 0.0000
4.4281 7.3306 0.0000
-2.0947 0.0000 5.2024
Y Tl Sn
8 2 1
direct
0.0941 0.3246 0.6199 Y
0.2186 0.7814 0.0000 Y
0.3246 0.0941 0.6199 Y
0.3967 0.3967 0.2028 Y
0.6033 0.6033 0.7972 Y
0.6754 0.9059 0.3801 Y
0.7814 0.2186 0.0000 Y
0.9059 0.6754 0.3801 Y
0.3047 0.6953 0.5000 Tl
0.6953 0.3047 0.5000 Tl
0.0000 0.0000 0.0000 Sn
```

Output
Magnetization: 0.133 μB/atom
E_form: -182 meV per atom
SG: C2/m

***

Below is a relaxed YTlSn crystal, with properties calculated at the PBE level.

The structure in POSCAR format:
```
YTlSn
1.0
4.1717 -2.4183 0.0000
4.1717 2.4183 0.0000
-2.7895 0.0000 8.9129
Y Tl Sn
2 2 2
direct
0.0724 0.0724 0.2186 Y
0.9276 0.9276 0.7814 Y
0.1954 0.1954 0.5844 Tl
0.8046 0.8046 0.4156 Tl
0.3531 0.3531 0.0598 Sn
0.6469 0.6469 0.9402 Sn
```

Output
Magnetization: 0.000 μB/atom
E_form: -217 meV per atom
Offset from the most stable computed form: 232 meV per atom
SG: C2/m

***

Below is a relaxed YTlSn crystal, with properties calculated at the PBE level.

The structure in POSCAR format:
```
YTlSn
1.0
4.3908 0.0000 0.0000
0.0000 4.4083 0.0000
0.0000 0.0000 4.8552
Y Tl Sn
1 1 1
direct
0.0000 0.0000 0.0000 Y
0.5000 0.0000 0.5000 Tl
0.5000 0.5000 0.0000 Sn
```

Output
Magnetization: 0.000 μB/atom
E_form: -251 meV per atom
Offset from the most stable computed form: 198 meV per atom
SG: Pmmm

***

Below is a relaxed Y6Tl2Sn crystal, with properties calculated at the PBE level.

The structure in POSCAR format:
```
Y6Tl2Sn
1.0
6.2059 0.0000 0.0000
0.0000 9.0004 0.0000
-5.3344 0.0000 9.7410
Y Tl Sn
12 4 2
direct
0.0482 0.1675 0.4418 Y
0.0482 0.3325 0.9418 Y
0.3575 0.6821 0.4396 Y
0.3575 0.8179 0.9396 Y
0.4078 0.0326 0.2978 Y
0.4078 0.4674 0.7978 Y
0.5922 0.5326 0.2022 Y
0.5922 0.9674 0.7022 Y
0.6425 0.1821 0.0604 Y
0.6425 0.3179 0.5604 Y
0.9518 0.6675 0.0582 Y
0.9518 0.8325 0.5582 Y
0.1765 0.1244 0.7555 Tl
0.1765 0.3756 0.2555 Tl
0.8235 0.6244 0.7445 Tl
0.8235 0.8756 0.2445 Tl
0.0000 0.0000 0.0000 Sn
0.0000 0.5000 0.5000 Sn
```

Output
Magnetization: 0.000 μB/atom
E_form: -287 meV per atom
SG: P2_1/c

***

Below is a relaxed YTl2Sn2 crystal, with properties calculated at the PBE level.

The structure in POSCAR format:
```
YTl2Sn2
1.0
8.2570 0.0000 0.0000
0.0000 8.2570 0.0000
0.0000 0.0000 4.1680
Y Tl Sn
2 4 4
direct
0.0000 0.0000 0.0000 Y
0.5000 0.5000 0.0000 Y
0.1344 0.3656 0.0000 Tl
0.3656 0.8656 0.0000 Tl
0.6344 0.1344 0.0000 Tl
0.8656 0.6344 0.0000 Tl
0.1633 0.6633 0.5000 Sn
0.3367 0.1633 0.5000 Sn
0.6633 0.8367 0.5000 Sn
0.8367 0.3367 0.5000 Sn
```

Output
Magnetization: 0.000 μB/atom
E_form: -43 meV per atom
Offset from the most stable computed form: 50 meV per atom
SG: P4/mbm

***

Below is a relaxed Y5Tl2Sn2 crystal, with properties calculated at the PBE level.

The structure in POSCAR format:
```
Y5Tl2Sn2
1.0
7.8524 -4.1032 0.0000
7.8524 4.1032 0.0000
0.0000 0.0000 8.1038
Y Tl Sn
10 4 4
direct
0.0000 0.0000 0.0000 Y
0.0336 0.6870 0.6700 Y
0.1870 0.5336 0.1700 Y
0.3130 0.9664 0.6700 Y
0.4664 0.8130 0.1700 Y
0.5000 0.5000 0.5000 Y
0.5336 0.1870 0.8300 Y
0.6870 0.0336 0.3300 Y
0.8130 0.4664 0.8300 Y
0.9664 0.3130 0.3300 Y
0.1305 0.8695 0.3697 Tl
0.3695 0.6305 0.8697 Tl
0.6305 0.3695 0.1303 Tl
0.8695 0.1305 0.6303 Tl
0.2059 0.2059 0.0000 Sn
0.2941 0.2941 0.5000 Sn
0.7059 0.7059 0.5000 Sn
0.7941 0.7941 0.0000 Sn
```

Output
Magnetization: 0.000 μB/atom
E_form: -566 meV per atom
Offset from the most stable computed form: 3 meV per atom
SG: Cmce

***

Below is a relaxed Y2TlSn crystal, with properties calculated at the PBE level.

The structure in POSCAR format:
```
Y2TlSn
1.0
-4.1492 4.1492 3.4698
4.1492 -4.1492 3.4698
4.1492 4.1492 -3.4698
Y Tl Sn
4 2 2
direct
0.1217 0.6250 0.9967 Y
0.3750 0.3717 0.4967 Y
0.6283 0.1250 0.0033 Y
0.8750 0.8783 0.5033 Y
0.2500 0.7500 0.5000 Tl
0.5000 0.5000 0.0000 Tl
0.0000 0.0000 0.0000 Sn
0.7500 0.2500 0.5000 Sn
```

Output
Magnetization: 0.000 μB/atom
E_form: -265 meV per atom
SG: I-42d

***

Below is a relaxed YTl2Sn2 crystal, with properties calculated at the PBE level.

The structure in POSCAR format:
```
YTl2Sn2
1.0
8.1382 0.0000 0.0000
0.0000 8.1382 0.0000
0.0000 0.0000 4.4116
Y Tl Sn
2 4 4
direct
0.0000 0.0000 0.0000 Y
0.5000 0.5000 0.0000 Y
0.1712 0.3288 0.5000 Tl
0.3288 0.8288 0.5000 Tl
0.6712 0.1712 0.5000 Tl
0.8288 0.6712 0.5000 Tl
0.1292 0.6292 0.0000 Sn
0.3708 0.1292 0.0000 Sn
0.6292 0.8708 0.0000 Sn
0.8708 0.3708 0.0000 Sn
```

Output
Magnetization: 0.000 μB/atom
E_form: -89 meV per atom
Offset from the most stable computed form: 4 meV per atom
SG: P4/mbm

***

Below is a relaxed Y3TlSn crystal, with properties calculated at the PBE level.

The structure in POSCAR format:
```
Y3TlSn
1.0
9.8130 -4.6749 0.0000
9.8130 4.6749 0.0000
-2.4437 0.0000 6.4799
Y Tl Sn
12 4 4
direct
0.0233 0.2620 0.6429 Y
0.2004 0.7045 0.9526 Y
0.2620 0.0233 0.1429 Y
0.2955 0.7996 0.5474 Y
0.3190 0.3203 0.5696 Y
0.3203 0.3190 0.0696 Y
0.6797 0.6810 0.9304 Y
0.6810 0.6797 0.4304 Y
0.7045 0.2004 0.4526 Y
0.7380 0.9767 0.8571 Y
0.7996 0.2955 0.0474 Y
0.9767 0.7380 0.3571 Y
0.0000 0.0000 0.2500 Tl
0.0000 0.0000 0.7500 Tl
0.5001 0.4999 0.2500 Tl
0.4999 0.5001 0.7500 Tl
0.0167 0.4061 0.2106 Sn
0.4061 0.0167 0.7106 Sn
0.5939 0.9833 0.2894 Sn
0.9833 0.5939 0.7894 Sn
```

Output
Magnetization: 0.000 μB/atom
E_form: -450 meV per atom
Offset from the most stable computed form: 0 meV per atom
SG: C2/c

***

Below is a relaxed YTl2Sn crystal, with properties calculated at the PBE level.

The structure in POSCAR format:
```
YTl2Sn
1.0
0.0000 3.8426 3.8426
3.8426 0.0000 3.8426
3.8426 3.8426 0.0000
Y Tl Sn
1 2 1
direct
0.0000 0.0000 0.0000 Y
0.2500 0.2500 0.2500 Tl
0.7500 0.7500 0.7500 Tl
0.5000 0.5000 0.5000 Sn
```

Output
Magnetization: 0.000 μB/atom
E_form: -88 meV per atom
Offset from the most stable computed form: 223 meV per atom
SG: Fm-3m

***

Below is a relaxed Y5Tl2Sn2 crystal, with properties calculated at the PBE level.

The structure in POSCAR format:
```
Y5Tl2Sn2
1.0
7.9311 -4.0719 0.0000
7.9311 4.0719 0.0000
0.0000 0.0000 8.0474
Y Tl Sn
10 4 4
direct
0.0000 0.0000 0.0000 Y
0.0405 0.6889 0.6704 Y
0.1889 0.5405 0.1704 Y
0.3111 0.9595 0.6704 Y
0.4595 0.8111 0.1704 Y
0.5000 0.5000 0.5000 Y
0.5405 0.1889 0.8296 Y
0.6889 0.0405 0.3296 Y
0.8111 0.4595 0.8296 Y
0.9595 0.3111 0.3296 Y
0.2111 0.2111 0.0000 Tl
0.2889 0.2889 0.5000 Tl
0.7111 0.7111 0.5000 Tl
0.7889 0.7889 0.0000 Tl
0.1312 0.8688 0.3665 Sn
0.3688 0.6312 0.8665 Sn
0.6312 0.3688 0.1335 Sn
0.8688 0.1312 0.6335 Sn
```

Output
Magnetization: 0.000 μB/atom
E_form: -568 meV per atom
Offset from the most stable computed form: 0 meV per atom
SG: Cmce

***

Below is a relaxed YTlSn crystal, with properties calculated at the PBE level.

The structure in POSCAR format:
```
YTlSn
1.0
-1.6818 1.6818 8.2522
1.6818 -1.6818 8.2522
1.6818 1.6818 -8.2522
Y Tl Sn
1 1 1
direct
0.0000 0.0000 0.0000 Y
0.3621 0.3621 0.0000 Tl
0.1848 0.1848 0.0000 Sn
```

Output
Magnetization: 0.144 μB/atom
E_form: 78 meV per atom
Offset from the most stable computed form: 528 meV per atom
SG: I4mm

***

Below is a relaxed YTlSn3 crystal, with properties calculated at the PBE level.

The structure in POSCAR format:
```
YTlSn3
1.0
5.8014 0.0000 0.0000
0.0000 5.8014 0.0000
0.0000 0.0000 5.8014
Y Tl Sn
1 1 3
direct
0.0000 0.0000 0.0000 Y
0.5000 0.5000 0.5000 Tl
0.0000 0.0000 0.5000 Sn
0.0000 0.5000 0.0000 Sn
0.5000 0.0000 0.0000 Sn
```

Output
Magnetization: 0.000 μB/atom
E_form: 299 meV per atom
Offset from the most stable computed form: 0 meV per atom
SG: Pm-3m

***

Below is a relaxed Y4TlSn2 crystal, with properties calculated at the PBE level.

The structure in POSCAR format:
```
Y4TlSn2
1.0
6.0791 0.0000 0.0000
0.0000 6.6934 0.0000
-2.5469 0.0000 10.0209
Y Tl Sn
8 2 4
direct
0.0183 0.0064 0.2618 Y
0.0183 0.4936 0.2618 Y
0.3588 0.7500 0.5351 Y
0.4655 0.7500 0.1530 Y
0.5345 0.2500 0.8470 Y
0.6412 0.2500 0.4649 Y
0.9817 0.5064 0.7382 Y
0.9817 0.9936 0.7382 Y
0.4514 0.7500 0.8366 Tl
0.5486 0.2500 0.1634 Tl
0.0848 0.2500 0.9997 Sn
0.1903 0.2500 0.5394 Sn
0.8097 0.7500 0.4606 Sn
0.9152 0.7500 0.0003 Sn
```

Output
Magnetization: 0.000 μB/atom
E_form: -458 meV per atom
SG: P2_1/m

***

Below is a relaxed Tl2ZnSn crystal, with properties calculated at the PBE level.

The structure in POSCAR format:
```
Tl2ZnSn
1.0
0.0000 3.7851 3.7851
3.7851 0.0000 3.7851
3.7851 3.7851 0.0000
Tl Zn Sn
2 1 1
direct
0.2500 0.2500 0.2500 Tl
0.7500 0.7500 0.7500 Tl
0.0000 0.0000 0.0000 Zn
0.5000 0.5000 0.5000 Sn
```

Output
Magnetization: 0.000 μB/atom
E_form: 157 meV per atom
Offset from the most stable computed form: 29 meV per atom
SG: Fm-3m

***

Below is a relaxed TlZnSn3 crystal, with properties calculated at the PBE level.

The structure in POSCAR format:
```
TlZnSn3
1.0
9.8960 0.0000 0.0000
0.0000 4.1824 0.0000
0.0000 0.0000 13.0409
Tl Zn Sn
4 4 12
direct
0.1595 0.2500 0.0071 Tl
0.3405 0.7500 0.5071 Tl
0.6595 0.2500 0.4929 Tl
0.8405 0.7500 0.9929 Tl
0.1223 0.2500 0.6276 Zn
0.3777 0.7500 0.1276 Zn
0.6223 0.2500 0.8724 Zn
0.8777 0.7500 0.3724 Zn
0.0750 0.2500 0.4113 Sn
0.1136 0.7500 0.2151 Sn
0.1442 0.7500 0.7895 Sn
0.3558 0.2500 0.2895 Sn
0.3864 0.2500 0.7151 Sn
0.4250 0.7500 0.9113 Sn
0.5750 0.2500 0.0887 Sn
0.6136 0.7500 0.2849 Sn
0.6442 0.7500 0.7105 Sn
0.8558 0.2500 0.2105 Sn
0.8864 0.2500 0.7849 Sn
0.9250 0.7500 0.5887 Sn
```

Output
Magnetization: 0.000 μB/atom
E_form: 65 meV per atom
Offset from the most stable computed form: 0 meV per atom
SG: Pnma

***

Below is a relaxed TlZnSn3 crystal, with properties calculated at the PBE level.

The structure in POSCAR format:
```
TlZnSn3
1.0
5.7651 0.0000 0.0000
0.0000 5.7651 0.0000
0.0000 0.0000 5.7651
Tl Zn Sn
1 1 3
direct
0.0000 0.0000 0.0000 Tl
0.5000 0.5000 0.5000 Zn
0.0000 0.0000 0.5000 Sn
0.0000 0.5000 0.0000 Sn
0.5000 0.0000 0.0000 Sn
```

Output
Magnetization: 0.000 μB/atom
E_form: 816 meV per atom
Offset from the most stable computed form: 751 meV per atom
SG: Pm-3m

***

Below is a relaxed Tl3ZnSn crystal, with properties calculated at the PBE level.

The structure in POSCAR format:
```
Tl3ZnSn
1.0
5.3717 0.0000 0.0000
0.0000 5.3717 0.0000
0.0000 0.0000 5.3717
Tl Zn Sn
3 1 1
direct
0.0000 0.0000 0.5000 Tl
0.0000 0.5000 0.0000 Tl
0.5000 0.0000 0.0000 Tl
0.0000 0.0000 0.0000 Zn
0.5000 0.5000 0.5000 Sn
```

Output
Magnetization: 0.000 μB/atom
E_form: 295 meV per atom
SG: Pm-3m

***

Below is a relaxed TlZnSn3 crystal, with properties calculated at the PBE level.

The structure in POSCAR format:
```
TlZnSn3
1.0
7.4286 -3.3708 0.0000
7.4286 3.3708 0.0000
-1.1932 0.0000 5.3569
Tl Zn Sn
2 2 6
direct
0.0744 0.0744 0.2883 Tl
0.9256 0.9256 0.7117 Tl
0.5000 0.5000 0.0000 Zn
0.5000 0.5000 0.5000 Zn
0.0956 0.6068 0.1666 Sn
0.3183 0.3183 0.6400 Sn
0.3932 0.9044 0.8334 Sn
0.6068 0.0956 0.1666 Sn
0.6817 0.6817 0.3600 Sn
0.9044 0.3932 0.8334 Sn
```

Output
Magnetization: 0.000 μB/atom
E_form: 73 meV per atom
Offset from the most stable computed form: 9 meV per atom
SG: C2/m

***

Below is a relaxed Tl2ZnSn2 crystal, with properties calculated at the PBE level.

The structure in POSCAR format:
```
Tl2ZnSn2
1.0
7.4293 0.0000 0.0000
0.0000 7.4293 0.0000
0.0000 0.0000 5.1200
Tl Zn Sn
4 2 4
direct
0.1531 0.3469 0.0000 Tl
0.3469 0.8469 0.0000 Tl
0.6531 0.1531 0.0000 Tl
0.8469 0.6531 0.0000 Tl
0.0000 0.0000 0.0000 Zn
0.5000 0.5000 0.0000 Zn
0.1553 0.6553 0.5000 Sn
0.3447 0.1553 0.5000 Sn
0.6553 0.8447 0.5000 Sn
0.8447 0.3447 0.5000 Sn
```

Output
Magnetization: 0.000 μB/atom
E_form: 232 meV per atom
Offset from the most stable computed form: 145 meV per atom
SG: P4/mbm

***

Below is a relaxed Tl2ZnSn2 crystal, with properties calculated at the PBE level.

The structure in POSCAR format:
```
Tl2ZnSn2
1.0
7.1876 0.0000 0.0000
0.0000 7.1876 0.0000
0.0000 0.0000 5.5455
Tl Zn Sn
4 2 4
direct
0.1689 0.3311 0.0000 Tl
0.3311 0.8311 0.0000 Tl
0.6689 0.1689 0.0000 Tl
0.8311 0.6689 0.0000 Tl
0.0000 0.0000 0.5000 Zn
0.5000 0.5000 0.5000 Zn
0.1472 0.6472 0.5000 Sn
0.3528 0.1472 0.5000 Sn
0.6472 0.8528 0.5000 Sn
0.8528 0.3528 0.5000 Sn
```

Output
Magnetization: 0.000 μB/atom
E_form: 87 meV per atom
Offset from the most stable computed form: 0 meV per atom
SG: P4/mbm

***

Below is a relaxed TlZnSn3 crystal, with properties calculated at the PBE level.

The structure in POSCAR format:
```
TlZnSn3
1.0
5.3207 0.0000 0.0000
0.0000 5.3207 0.0000
0.0000 0.0000 5.3207
Tl Zn Sn
1 1 3
direct
0.0000 0.0000 0.0000 Tl
0.5000 0.5000 0.5000 Zn
0.0000 0.5000 0.5000 Sn
0.5000 0.0000 0.5000 Sn
0.5000 0.5000 0.0000 Sn
```

Output
Magnetization: 0.000 μB/atom
E_form: 291 meV per atom
Offset from the most stable computed form: 226 meV per atom
SG: Pm-3m